Record 1
A plane-wave DFT calculation with meta-GGA SCAN was carried out for La2In2Pb at its PBEsol-relaxed geometry.

Unit cell a=4.864 b=4.864 c=13.717 alpha=90.00 beta=90.00 gamma=90.00
Space group I4/mmm (No. 139)
One atom of each set of equivalent atoms:
La1 0.000 0.500 0.250 [4 per cell]
In1 0.000 0.000 0.096 [4 per cell]
Pb1 0.000 0.000 0.500 [2 per cell]

Results
Energy of formation from the pure elements in eV/atom: -0.12
Magnetization in μB per cell: 0.0

***

Record 2
A plane-wave DFT calculation with meta-GGA SCAN was carried out for BeTlMo4 at its PBEsol-relaxed geometry.

Unit cell a=7.363 b=7.363 c=7.363 alpha=90.00 beta=90.00 gamma=90.00
Space group F-43m (No. 216)
One atom of each set of equivalent atoms:
Be1 0.000 0.000 0.000 [4 per cell]
Tl1 0.250 0.250 0.250 [4 per cell]
Mo1 0.126 0.126 0.626 [16 per cell]

Results
Energy of formation from the pure elements in eV/atom: 0.79
Magnetization in μB per cell: 0.0

***

Record 3
A plane-wave DFT calculation with meta-GGA SCAN was carried out for AgPt2 at its PBEsol-relaxed geometry.

Unit cell a=5.577 b=7.863 c=16.812 alpha=90.00 beta=90.00 gamma=90.00
Space group Fmmm (No. 69)
One atom of each set of equivalent atoms:
Ag1 0.000 0.000 0.085 [8 per cell]
Ag2 0.250 0.250 0.000 [8 per cell]
Pt1 0.000 0.000 0.254 [8 per cell]
Pt2 0.000 0.000 0.416 [8 per cell]
Pt3 0.250 0.250 0.168 [16 per cell]

Results
Energy of formation from the pure elements in eV/atom: 0.03
Excess energy over the best structure of this formula in the dataset in meV per atom: 34
Magnetization in μB per cell: 0.0